--- A ---
Material: NdGdCu
Method: DFT, PBE
State: relaxed

```
data_NdGdCu
_cell_length_a 3.585
_cell_length_b 3.585
_cell_length_c 12.342
_cell_angle_alpha 90.00
_cell_angle_beta 90.00
_cell_angle_gamma 90.00
_space_group_name_H-M_alt 'I 4 m m'
_space_group_IT_number 107
_space_group_name_Hall 'I 4 -2'
loop_
_atom_site_label
_atom_site_type_symbol
_atom_site_fract_x
_atom_site_fract_y
_atom_site_fract_z
Nd1 Nd 0.000 0.000 0.000
Gd1 Gd 0.000 0.000 0.281
Cu1 Cu 0.000 0.000 0.647
```

## Properties
Magnetic moment, μB per formula unit: 7.87



--- B ---
Material: NdGdCu
Method: DFT, PBE
State: relaxed

```
data_NdGdCu
_cell_length_a 3.6738
_cell_length_b 3.6738
_cell_length_c 7.1179
_cell_angle_alpha 90.00
_cell_angle_beta 90.00
_cell_angle_gamma 120.00
_space_group_name_H-M_alt 'P 3 m 1'
_space_group_IT_number 156
loop_
_space_group_symop_operation_xyz
'x,y,z'
'-y,x-y,z'
'-x+y,-x,z'
'-y,-x,z'
'-x+y,y,z'
'x,x-y,z'
loop_
_atom_site_label
_atom_site_type_symbol
_atom_site_fract_x
_atom_site_fract_y
_atom_site_fract_z
Nd1 Nd 0.0000 0.0000 0.0000
Gd1 Gd 0.3333 0.6667 0.5749
Cu1 Cu 0.6667 0.3333 0.2947
```

## Properties
Magnetic moment, μB per formula unit: 7.33



--- C ---
Material: NdGdCu
Method: DFT, PBE
State: relaxed

```
data_NdGdCu
_cell_length_a 6.992
_cell_length_b 6.992
_cell_length_c 6.992
_cell_angle_alpha 90.00
_cell_angle_beta 90.00
_cell_angle_gamma 90.00
_space_group_name_H-M_alt 'F -4 3 m'
_space_group_IT_number 216
_space_group_name_Hall 'F -4 2 3'
loop_
_atom_site_label
_atom_site_type_symbol
_atom_site_fract_x
_atom_site_fract_y
_atom_site_fract_z
Nd1 Nd 0.000 0.000 0.000
Gd1 Gd 0.000 0.000 0.500
Cu1 Cu 0.250 0.250 0.750
```

## Properties
Magnetic moment, μB per formula unit: 8.05



Sorted by energy, starting with the most stable: A, B, C.



--- A ---
Material: GdCuNi2
Method: DFT, PBE
State: relaxed

```
data_GdCuNi2
_cell_length_a 4.1094
_cell_length_b 4.1094
_cell_length_c 13.5688
_cell_angle_alpha 90.00
_cell_angle_beta 90.00
_cell_angle_gamma 120.00
_space_group_name_H-M_alt 'R -3 m'
_space_group_IT_number 166
_space_group_name_Hall '-R 3 2"'
loop_
_atom_site_label
_atom_site_type_symbol
_atom_site_fract_x
_atom_site_fract_y
_atom_site_fract_z
Gd1 Gd 0.0000 0.0000 0.0000
Cu1 Cu 0.0000 0.0000 0.5000
Ni1 Ni 0.0000 0.0000 0.1988
```

## Properties
Magnetic moment, μB per formula unit: 7.14



--- B ---
Material: GdCuNi2
Method: DFT, PBE
State: relaxed

```
data_GdCuNi2
_cell_length_a 4.036
_cell_length_b 4.036
_cell_length_c 3.721
_cell_angle_alpha 90.00
_cell_angle_beta 90.00
_cell_angle_gamma 90.00
_space_group_name_H-M_alt 'P 4/m m m'
_space_group_IT_number 123
_space_group_name_Hall '-P 4 2'
loop_
_atom_site_label
_atom_site_type_symbol
_atom_site_fract_x
_atom_site_fract_y
_atom_site_fract_z
Gd1 Gd 0.000 0.000 0.000
Cu1 Cu 0.500 0.500 0.000
Ni1 Ni 0.000 0.500 0.500
```

## Properties
Magnetic moment, μB per formula unit: 7.06



Sorted by energy, starting with the most stable: A, B.



--- A ---
Material: Gd2CuNi
Method: DFT, PBE
State: relaxed

```
data_Gd2CuNi
_cell_length_a 3.454
_cell_length_b 3.454
_cell_length_c 6.953
_cell_angle_alpha 90.00
_cell_angle_beta 90.00
_cell_angle_gamma 90.00
_space_group_name_H-M_alt 'P 4/m m m'
_space_group_IT_number 123
_space_group_name_Hall '-P 4 2'
loop_
_atom_site_label
_atom_site_type_symbol
_atom_site_fract_x
_atom_site_fract_y
_atom_site_fract_z
Gd1 Gd 0.000 0.000 0.241
Cu1 Cu 0.500 0.500 0.500
Ni1 Ni 0.500 0.500 0.000
```

## Properties
Magnetic moment, μB per formula unit: 14.41



--- B ---
Material: Gd2CuNi
Method: DFT, PBE
State: relaxed

```
data_Gd2CuNi
_cell_length_a 3.7898
_cell_length_b 3.7898
_cell_length_c 26.4085
_cell_angle_alpha 90.00
_cell_angle_beta 90.00
_cell_angle_gamma 120.00
_space_group_name_H-M_alt 'R -3 m'
_space_group_IT_number 166
_space_group_name_Hall '-R 3 2"'
loop_
_atom_site_label
_atom_site_type_symbol
_atom_site_fract_x
_atom_site_fract_y
_atom_site_fract_z
Gd1 Gd 0.0000 0.0000 0.1066
Cu1 Cu 0.0000 0.0000 0.0000
Ni1 Ni 0.0000 0.0000 0.5000
```

## Properties
Magnetic moment, μB per formula unit: 14.57



Sorted by energy, starting with the most stable: A, B.



--- A ---
Material: GdPaCu2
Method: DFT, PBE
State: relaxed

```
data_GdPaCu2
_cell_length_a 3.305
_cell_length_b 3.305
_cell_length_c 7.522
_cell_angle_alpha 90.00
_cell_angle_beta 90.00
_cell_angle_gamma 90.00
_space_group_name_H-M_alt 'P 4/m m m'
_space_group_IT_number 123
_space_group_name_Hall '-P 4 2'
loop_
_atom_site_label
_atom_site_type_symbol
_atom_site_fract_x
_atom_site_fract_y
_atom_site_fract_z
Gd1 Gd 0.000 0.000 0.000
Pa1 Pa 0.000 0.000 0.500
Cu1 Cu 0.500 0.500 0.255
```

## Properties
Magnetic moment, μB per formula unit: 7.43



--- B ---
Material: GdPaCu2
Method: DFT, PBE
State: relaxed

```
data_GdPaCu2
_cell_length_a 3.3729
_cell_length_b 3.3729
_cell_length_c 26.2924
_cell_angle_alpha 90.00
_cell_angle_beta 90.00
_cell_angle_gamma 120.00
_space_group_name_H-M_alt 'R -3 m'
_space_group_IT_number 166
_space_group_name_Hall '-R 3 2"'
loop_
_atom_site_label
_atom_site_type_symbol
_atom_site_fract_x
_atom_site_fract_y
_atom_site_fract_z
Gd1 Gd 0.0000 0.0000 0.0000
Pa1 Pa 0.0000 0.0000 0.5000
Cu1 Cu 0.0000 0.0000 0.2499
```

## Properties
Magnetic moment, μB per formula unit: 7.11



--- C ---
Material: GdPaCu2
Method: DFT, PBE
State: relaxed

```
data_GdPaCu2
_cell_length_a 6.928
_cell_length_b 6.928
_cell_length_c 6.928
_cell_angle_alpha 90.00
_cell_angle_beta 90.00
_cell_angle_gamma 90.00
_space_group_name_H-M_alt 'F m -3 m'
_space_group_IT_number 225
_space_group_name_Hall '-F 4 2 3'
loop_
_atom_site_label
_atom_site_type_symbol
_atom_site_fract_x
_atom_site_fract_y
_atom_site_fract_z
Gd1 Gd 0.000 0.000 0.000
Pa1 Pa 0.000 0.000 0.500
Cu1 Cu 0.250 0.250 0.250
```

## Properties
Magnetic moment, μB per formula unit: 7.91



Sorted by energy, starting with the most stable: A, C, B.



--- A ---
Material: PmGdCu2
Method: DFT, PBE
State: relaxed

```
data_PmGdCu2
_cell_length_a 3.537
_cell_length_b 3.537
_cell_length_c 7.071
_cell_angle_alpha 90.00
_cell_angle_beta 90.00
_cell_angle_gamma 90.00
_space_group_name_H-M_alt 'P 4/m m m'
_space_group_IT_number 123
_space_group_name_Hall '-P 4 2'
loop_
_atom_site_label
_atom_site_type_symbol
_atom_site_fract_x
_atom_site_fract_y
_atom_site_fract_z
Pm1 Pm 0.000 0.000 0.000
Gd1 Gd 0.000 0.000 0.500
Cu1 Cu 0.500 0.500 0.257
```

## Properties
Magnetic moment, μB per formula unit: 7.18



--- B ---
Material: PmGdCu2
Method: DFT, PBE
State: relaxed

```
data_PmGdCu2
_cell_length_a 7.079
_cell_length_b 7.079
_cell_length_c 7.079
_cell_angle_alpha 90.00
_cell_angle_beta 90.00
_cell_angle_gamma 90.00
_space_group_name_H-M_alt 'F m -3 m'
_space_group_IT_number 225
_space_group_name_Hall '-F 4 2 3'
loop_
_atom_site_label
_atom_site_type_symbol
_atom_site_fract_x
_atom_site_fract_y
_atom_site_fract_z
Pm1 Pm 0.000 0.000 0.000
Gd1 Gd 0.000 0.000 0.500
Cu1 Cu 0.250 0.250 0.250
```

## Properties
Magnetic moment, μB per formula unit: 7.28



Sorted by energy, starting with the most stable: A, B.



--- A ---
Material: PmGdCu
Method: DFT, PBE
State: relaxed

```
data_PmGdCu
_cell_length_a 6.968
_cell_length_b 6.968
_cell_length_c 6.968
_cell_angle_alpha 90.00
_cell_angle_beta 90.00
_cell_angle_gamma 90.00
_space_group_name_H-M_alt 'F -4 3 m'
_space_group_IT_number 216
_space_group_name_Hall 'F -4 2 3'
loop_
_atom_site_label
_atom_site_type_symbol
_atom_site_fract_x
_atom_site_fract_y
_atom_site_fract_z
Pm1 Pm 0.000 0.000 0.000
Gd1 Gd 0.000 0.000 0.500
Cu1 Cu 0.250 0.250 0.250
```

## Properties
Magnetic moment, μB per formula unit: 8.04



--- B ---
Material: PmGdCu
Method: DFT, PBE
State: relaxed

```
data_PmGdCu
_cell_length_a 3.572
_cell_length_b 3.572
_cell_length_c 12.295
_cell_angle_alpha 90.00
_cell_angle_beta 90.00
_cell_angle_gamma 90.00
_space_group_name_H-M_alt 'I 4 m m'
_space_group_IT_number 107
_space_group_name_Hall 'I 4 -2'
loop_
_atom_site_label
_atom_site_type_symbol
_atom_site_fract_x
_atom_site_fract_y
_atom_site_fract_z
Pm1 Pm 0.000 0.000 0.000
Gd1 Gd 0.000 0.000 0.719
Cu1 Cu 0.000 0.000 0.356
```

## Properties
Magnetic moment, μB per formula unit: 7.91



Sorted by energy, starting with the most stable: B, A.



--- A ---
Material: PrGdCu
Method: DFT, PBE
State: relaxed

```
data_PrGdCu
_cell_length_a 7.019
_cell_length_b 7.019
_cell_length_c 7.019
_cell_angle_alpha 90.00
_cell_angle_beta 90.00
_cell_angle_gamma 90.00
_space_group_name_H-M_alt 'F -4 3 m'
_space_group_IT_number 216
_space_group_name_Hall 'F -4 2 3'
loop_
_atom_site_label
_atom_site_type_symbol
_atom_site_fract_x
_atom_site_fract_y
_atom_site_fract_z
Pr1 Pr 0.000 0.000 0.000
Gd1 Gd 0.000 0.000 0.500
Cu1 Cu 0.250 0.250 0.750
```

## Properties
Magnetic moment, μB per formula unit: 8.05



--- B ---
Material: PrGdCu
Method: DFT, PBE
State: relaxed

```
data_PrGdCu
_cell_length_a 3.6939
_cell_length_b 3.6939
_cell_length_c 7.1341
_cell_angle_alpha 90.00
_cell_angle_beta 90.00
_cell_angle_gamma 120.00
_space_group_name_H-M_alt 'P 3 m 1'
_space_group_IT_number 156
loop_
_space_group_symop_operation_xyz
'x,y,z'
'-y,x-y,z'
'-x+y,-x,z'
'-y,-x,z'
'-x+y,y,z'
'x,x-y,z'
loop_
_atom_site_label
_atom_site_type_symbol
_atom_site_fract_x
_atom_site_fract_y
_atom_site_fract_z
Pr1 Pr 0.0000 0.0000 0.0000
Gd1 Gd 0.3333 0.6667 0.5743
Cu1 Cu 0.6667 0.3333 0.2976
```

## Properties
Magnetic moment, μB per formula unit: 7.33



--- C ---
Material: PrGdCu
Method: DFT, PBE
State: relaxed

```
data_PrGdCu
_cell_length_a 3.601
_cell_length_b 3.601
_cell_length_c 12.368
_cell_angle_alpha 90.00
_cell_angle_beta 90.00
_cell_angle_gamma 90.00
_space_group_name_H-M_alt 'I 4 m m'
_space_group_IT_number 107
_space_group_name_Hall 'I 4 -2'
loop_
_atom_site_label
_atom_site_type_symbol
_atom_site_fract_x
_atom_site_fract_y
_atom_site_fract_z
Pr1 Pr 0.000 0.000 0.000
Gd1 Gd 0.000 0.000 0.281
Cu1 Cu 0.000 0.000 0.650
```

## Properties
Magnetic moment, μB per formula unit: 7.83



Sorted by energy, starting with the most stable: C, B, A.